A plane-wave DFT calculation with PBE-GGA was carried out for a relaxed ScPt2Au2 crystal.

Computed properties:
density = 14.84 Mg/m³
space-group type = P4/mbm (127)
VASP energy = -5.47 eV/atom
energy of formation = -480 meV per atom

Cell lengths 6.8841, 6.8841, 3.9155 Å; angles 90.00, 90.00, 90.00 degrees
With the nearest neighbours (Å) after each atom.
Fractional coordinates of all 10 atoms:
Au (0.3348, 0.1652, 0.5000)  6 Pt 2.75-2.86
Au (0.6652, 0.8348, 0.5000)  6 Pt 2.75-2.86
Au (0.1652, 0.6652, 0.5000)  6 Pt 2.75-2.86
Au (0.8348, 0.3348, 0.5000)  6 Pt 2.75-2.86
Pt (0.6364, 0.1364, 0.0000)  1 Pt 2.66, 2 Sc 2.67, 6 Au 2.75-2.86
Pt (0.3636, 0.8636, 0.0000)  1 Pt 2.66, 2 Sc 2.67, 6 Au 2.75-2.86
Pt (0.1364, 0.3636, 0.0000)  1 Pt 2.66, 2 Sc 2.67, 6 Au 2.75-2.86
Pt (0.8636, 0.6364, 0.0000)  1 Pt 2.66, 2 Sc 2.67, 6 Au 2.75-2.86
Sc (0.0000, 0.0000, 0.0000)  4 Pt 2.67
Sc (0.5000, 0.5000, 0.0000)  4 Pt 2.67

A plane-wave DFT calculation with PBE-GGA was carried out for a relaxed ScPtAu crystal.

Computed properties:
density = 13.41 Mg/m³
space-group type = P6_3/mmc (194)
VASP energy = -6.12 eV/atom
energy of formation = -899 meV per atom

Cell lengths 4.7330, 4.7330, 5.5805 Å; angles 90.00, 90.00, 120.00 degrees
With the nearest neighbours (Å) after each atom.
Fractional coordinates of all 6 atoms:
Sc (0.3335, 0.1665, 0.2500)  5 Pt 2.73-2.79
Sc (0.6665, 0.8335, 0.7500)  5 Pt 2.73-2.79
Pt (0.6668, 0.8332, 0.2500)  5 Sc 2.73-2.79
Pt (0.3332, 0.1668, 0.7500)  5 Sc 2.73-2.79
Au (0.0000, 0.5000, 0.5000)  2 Au 2.79, 6 Pt 3.07, 6 Sc 3.07
Au (0.0000, 0.5000, 0.0000)  2 Au 2.79, 6 Pt 3.07, 6 Sc 3.07

A plane-wave DFT calculation with PBE-GGA was carried out for a relaxed Sc5PtAu crystal.

Computed properties:
density = 6.67 Mg/m³
space-group type = C2/c (15)
VASP energy = -6.35 eV/atom
energy of formation = -493 meV per atom

Cell lengths 5.2968, 5.2968, 11.4187 Å; angles 81.60, 81.60, 77.51 degrees
With the nearest neighbours (Å) after each atom.
Fractional coordinates of all 14 atoms:
Sc (0.9080, 0.5681, 0.1253)  1 Pt 2.62, 1 Au 2.75
Sc (0.0075, 0.9925, 0.2500)  1 Au 2.75, 2 Pt 2.86, 2 Sc 3.00
Sc (0.9925, 0.0075, 0.7500)  1 Au 2.75, 2 Pt 2.86, 2 Sc 3.00
Sc (0.0920, 0.4319, 0.8747)  1 Pt 2.62, 1 Au 2.75
Sc (0.5116, 0.2105, 0.0797)  1 Pt 2.67, 1 Au 2.87
Sc (0.4319, 0.0920, 0.3747)  1 Pt 2.62, 1 Au 2.75
Sc (0.5681, 0.9080, 0.6253)  1 Pt 2.62, 1 Au 2.75
Sc (0.2105, 0.5116, 0.5797)  1 Pt 2.67, 1 Au 2.87
Sc (0.7895, 0.4884, 0.4203)  1 Pt 2.67, 1 Au 2.87
Sc (0.4884, 0.7895, 0.9203)  1 Pt 2.67, 1 Au 2.87
Pt (0.0000, 0.0000, 0.5000)  6 Sc 2.62-2.86
Pt (0.0000, 0.0000, 0.0000)  6 Sc 2.62-2.86
Au (0.4225, 0.5775, 0.2500)  5 Sc 2.75-2.87
Au (0.5775, 0.4225, 0.7500)  5 Sc 2.75-2.87

A plane-wave DFT calculation with PBE-GGA was carried out for a relaxed Sc3Pt12Au5 crystal.

Computed properties:
density = 12.63 Mg/m³
space-group type = Ia-3d (230)
VASP energy = -5.32 eV/atom
energy of formation = 75 meV per atom

Cell lengths 13.3228, 13.3228, 13.3228 Å; angles 109.47, 109.47, 109.47 degrees
With the nearest neighbours (Å) after each atom.
Fractional coordinates of all 80 atoms:
Pt (0.7749, 0.4304, 0.3446)  2 Au 2.62-2.64, 2 Sc 2.64-2.81, 1 Pt 2.67
Pt (0.1555, 0.0697, 0.7251)  2 Au 2.62-2.64, 2 Sc 2.64-2.81, 1 Pt 2.67
Pt (0.9142, 0.8445, 0.5696)  2 Au 2.62-2.64, 2 Sc 2.64-2.81, 1 Pt 2.67
Pt (0.8445, 0.9142, 0.0696)  2 Au 2.62-2.64, 2 Sc 2.64-2.81, 1 Pt 2.67
Pt (0.5858, 0.6554, 0.4303)  2 Au 2.62-2.64, 2 Sc 2.64-2.81, 1 Pt 2.67
Pt (0.4304, 0.7749, 0.8446)  2 Au 2.62-2.64, 2 Sc 2.64-2.81, 1 Pt 2.67
Pt (0.5697, 0.8446, 0.4142)  2 Au 2.62-2.64, 2 Sc 2.64-2.81, 1 Pt 2.67
Pt (0.3446, 0.4142, 0.0697)  2 Au 2.62-2.64, 2 Sc 2.64-2.81, 1 Pt 2.67
Pt (0.7251, 0.5697, 0.1555)  2 Au 2.62-2.64, 2 Sc 2.64-2.81, 1 Pt 2.67
Pt (0.0697, 0.9142, 0.3446)  2 Au 2.62-2.64, 2 Sc 2.64-2.81, 1 Pt 2.67
Pt (0.2749, 0.8446, 0.9304)  2 Au 2.62-2.64, 2 Sc 2.64-2.81, 1 Pt 2.67
Pt (0.5696, 0.2251, 0.1554)  2 Au 2.62-2.64, 2 Sc 2.64-2.81, 1 Pt 2.67
Pt (0.5858, 0.9304, 0.6555)  2 Au 2.62-2.64, 2 Sc 2.64-2.81, 1 Pt 2.67
Pt (0.1555, 0.0858, 0.9304)  2 Au 2.62-2.64, 2 Sc 2.64-2.81, 1 Pt 2.67
Pt (0.4142, 0.3446, 0.5697)  2 Au 2.62-2.64, 2 Sc 2.64-2.81, 1 Pt 2.67
Pt (0.7749, 0.3445, 0.9303)  2 Au 2.62-2.64, 2 Sc 2.64-2.81, 1 Pt 2.67
Pt (0.4304, 0.6555, 0.0858)  2 Au 2.62-2.64, 2 Sc 2.64-2.81, 1 Pt 2.67
Pt (0.9304, 0.5858, 0.1555)  2 Au 2.62-2.64, 2 Sc 2.64-2.81, 1 Pt 2.67
Pt (0.2251, 0.6555, 0.0697)  2 Au 2.62-2.64, 2 Sc 2.64-2.81, 1 Pt 2.67
Pt (0.1554, 0.4303, 0.0858)  2 Au 2.62-2.64, 2 Sc 2.64-2.81, 1 Pt 2.67
Pt (0.8446, 0.5697, 0.9142)  2 Au 2.62-2.64, 2 Sc 2.64-2.81, 1 Pt 2.67
Pt (0.6555, 0.4304, 0.5858)  2 Au 2.62-2.64, 2 Sc 2.64-2.81, 1 Pt 2.67
Pt (0.7251, 0.1554, 0.0696)  2 Au 2.62-2.64, 2 Sc 2.64-2.81, 1 Pt 2.67
Pt (0.8445, 0.9303, 0.2749)  2 Au 2.62-2.64, 2 Sc 2.64-2.81, 1 Pt 2.67
Pt (0.9303, 0.8445, 0.7749)  2 Au 2.62-2.64, 2 Sc 2.64-2.81, 1 Pt 2.67
Pt (0.5697, 0.7251, 0.6555)  2 Au 2.62-2.64, 2 Sc 2.64-2.81, 1 Pt 2.67
Pt (0.6554, 0.5858, 0.9303)  2 Au 2.62-2.64, 2 Sc 2.64-2.81, 1 Pt 2.67
Pt (0.0696, 0.4142, 0.8445)  2 Au 2.62-2.64, 2 Sc 2.64-2.81, 1 Pt 2.67
Pt (0.9142, 0.0697, 0.8446)  2 Au 2.62-2.64, 2 Sc 2.64-2.81, 1 Pt 2.67
Pt (0.6555, 0.2251, 0.5697)  2 Au 2.62-2.64, 2 Sc 2.64-2.81, 1 Pt 2.67
Pt (0.0696, 0.6554, 0.7251)  2 Au 2.62-2.64, 2 Sc 2.64-2.81, 1 Pt 2.67
Pt (0.9303, 0.0858, 0.6554)  2 Au 2.62-2.64, 2 Sc 2.64-2.81, 1 Pt 2.67
Pt (0.4303, 0.2749, 0.3445)  2 Au 2.62-2.64, 2 Sc 2.64-2.81, 1 Pt 2.67
Pt (0.4303, 0.1554, 0.5858)  2 Au 2.62-2.64, 2 Sc 2.64-2.81, 1 Pt 2.67
Pt (0.0697, 0.1555, 0.2251)  2 Au 2.62-2.64, 2 Sc 2.64-2.81, 1 Pt 2.67
Pt (0.2749, 0.4303, 0.8445)  2 Au 2.62-2.64, 2 Sc 2.64-2.81, 1 Pt 2.67
Pt (0.3445, 0.5696, 0.4142)  2 Au 2.62-2.64, 2 Sc 2.64-2.81, 1 Pt 2.67
Pt (0.8446, 0.2749, 0.4304)  2 Au 2.62-2.64, 2 Sc 2.64-2.81, 1 Pt 2.67
Pt (0.6554, 0.0696, 0.2251)  2 Au 2.62-2.64, 2 Sc 2.64-2.81, 1 Pt 2.67
Pt (0.2251, 0.5696, 0.6554)  2 Au 2.62-2.64, 2 Sc 2.64-2.81, 1 Pt 2.67
Pt (0.4142, 0.0696, 0.3445)  2 Au 2.62-2.64, 2 Sc 2.64-2.81, 1 Pt 2.67
Pt (0.0858, 0.9303, 0.1554)  2 Au 2.62-2.64, 2 Sc 2.64-2.81, 1 Pt 2.67
Pt (0.0858, 0.1555, 0.4304)  2 Au 2.62-2.64, 2 Sc 2.64-2.81, 1 Pt 2.67
Pt (0.3445, 0.7749, 0.4303)  2 Au 2.62-2.64, 2 Sc 2.64-2.81, 1 Pt 2.67
Pt (0.9304, 0.3446, 0.2749)  2 Au 2.62-2.64, 2 Sc 2.64-2.81, 1 Pt 2.67
Pt (0.1554, 0.7251, 0.5696)  2 Au 2.62-2.64, 2 Sc 2.64-2.81, 1 Pt 2.67
Pt (0.3446, 0.9304, 0.7749)  2 Au 2.62-2.64, 2 Sc 2.64-2.81, 1 Pt 2.67
Pt (0.5696, 0.3445, 0.9142)  2 Au 2.62-2.64, 2 Sc 2.64-2.81, 1 Pt 2.67
Sc (0.8750, 0.7500, 0.1250)  8 Pt 2.64-2.81
Sc (0.7500, 0.3750, 0.1250)  8 Pt 2.64-2.81
Sc (0.8750, 0.1250, 0.2500)  8 Pt 2.64-2.81
Sc (0.2500, 0.1250, 0.3750)  8 Pt 2.64-2.81
Sc (0.3750, 0.6250, 0.2500)  8 Pt 2.64-2.81
Sc (0.1250, 0.2500, 0.8750)  8 Pt 2.64-2.81
Sc (0.3750, 0.7500, 0.6250)  8 Pt 2.64-2.81
Sc (0.6250, 0.2500, 0.3750)  8 Pt 2.64-2.81
Sc (0.1250, 0.8750, 0.7500)  8 Pt 2.64-2.81
Sc (0.7500, 0.8750, 0.6250)  8 Pt 2.64-2.81
Sc (0.2500, 0.6250, 0.8750)  8 Pt 2.64-2.81
Sc (0.6250, 0.3750, 0.7500)  8 Pt 2.64-2.81
Au (0.8750, 0.2500, 0.6250)  4 Pt 2.64
Au (0.0000, 0.0000, 0.0000)  6 Pt 2.62
Au (0.1250, 0.7500, 0.3750)  4 Pt 2.64
Au (0.5000, 0.0000, 0.0000)  6 Pt 2.62
Au (0.6250, 0.8750, 0.2500)  4 Pt 2.64
Au (0.7500, 0.1250, 0.8750)  4 Pt 2.64
Au (0.3750, 0.2500, 0.1250)  4 Pt 2.64
Au (0.7500, 0.6250, 0.3750)  4 Pt 2.64
Au (0.2500, 0.3750, 0.6250)  4 Pt 2.64
Au (0.8750, 0.6250, 0.7500)  4 Pt 2.64
Au (0.2500, 0.8750, 0.1250)  4 Pt 2.64
Au (0.3750, 0.1250, 0.7500)  4 Pt 2.64
Au (0.0000, 0.5000, 0.0000)  6 Pt 2.62
Au (0.0000, 0.5000, 0.5000)  6 Pt 2.62
Au (0.6250, 0.7500, 0.8750)  4 Pt 2.64
Au (0.5000, 0.0000, 0.5000)  6 Pt 2.62
Au (0.5000, 0.5000, 0.5000)  6 Pt 2.62
Au (0.0000, 0.0000, 0.5000)  6 Pt 2.62
Au (0.5000, 0.5000, 0.0000)  6 Pt 2.62
Au (0.1250, 0.3750, 0.2500)  4 Pt 2.64